Ac2P3RuRh12 | PBE | optimized geometry

Cell: 7.2524 7.2524 7.2524 Å, 71.45 71.45 71.45°
Closest atoms and distances in Å follow each position.
Element x y z (fractional)
Ac  0.1092  0.1092  0.1092  3 Rh 2.81
Ac  0.8908  0.8908  0.8908  3 Rh 2.81
P  0.0000  0.5000  0.5000  6 Rh 2.20-2.29
P  0.5000  0.0000  0.5000  6 Rh 2.20-2.29
P  0.5000  0.5000  0.0000  6 Rh 2.20-2.29
Ru  0.5000  0.5000  0.5000  6 Rh 2.50
Rh  0.1353  0.6376  0.6376  1 P 2.20
Rh  0.1735  0.1735  0.5856  2 P 2.29
Rh  0.1735  0.5856  0.1735  2 P 2.29
Rh  0.3624  0.3624  0.8647  1 P 2.20
Rh  0.3624  0.8647  0.3624  1 P 2.20
Rh  0.4144  0.8265  0.8265  2 P 2.29
Rh  0.5856  0.1735  0.1735  2 P 2.29
Rh  0.6376  0.1353  0.6376  1 P 2.20
Rh  0.6376  0.6376  0.1353  1 P 2.20
Rh  0.8265  0.4144  0.8265  2 P 2.29
Rh  0.8265  0.8265  0.4144  2 P 2.29
Rh  0.8647  0.3624  0.3624  1 P 2.20

Energy of formation from the pure elements: -0.116 eV per atom
DOS(E_F): 13.8 states/eV per cell
Raw total energy: -124.03 eV/f.u.